Material: Pm6GaRu2
Method: DFT, PBE
State: optimized geometry

The energy of formation from the pure elements is -0.222 eV/atom. The total magnetization comes out at 0.00 Bohr magnetons per cell. The calculation puts the energy above the most stable polymorph in this dataset at 78 meV/atom.

It has space group C2/m (No. 12), with a = 10.1477 Å, b = 5.2015 Å, c = 9.1692 Å, α = 90.00°, β = 100.95° and γ = 90.00°. The inequivalent atoms are Pm at (0.0378, 0.0000, 0.3389), Pm at (0.1579, 0.5000, 0.8925), Pm at (0.2085, 0.5000, 0.3341), Ga at (0.0000, 0.0000, 0.0000) and Ru at (0.1142, 0.5000, 0.5996).